A relaxed structure of BiB2As. Source: the Alexandria database, functional PBE.

Properties
Energy of formation from the pure elements   447.2 meV per atom
Spin magnetization   0.00 μB per cell
Energy above the most stable polymorph in this dataset   0.0 kJ/mol of atoms

abc: 5.183 5.183 10.229
angles: 90.00 90.00 90.00
Space group I-42d (No. 122)
Symmetry-distinct sites (fractional):
Bi: 0.000 0.000 0.000 x4
B: 0.203 0.250 0.625 x8
As: 0.000 0.000 0.500 x4


A relaxed structure of Nd6Tl2NO. Source: the Alexandria database, functional PBE.

Properties
Formation energy without anion corrections   -1.10 eV per atom
Spin magnetization   0.00 μB per cell

abc: 10.028 10.028 10.028
angles: 90.00 90.00 90.00
Space group Fm-3m (No. 225)
Symmetry-distinct sites (fractional):
Nd: 0.000 0.000 0.248 x24
Tl: 0.250 0.250 0.250 x8
N: 0.000 0.000 0.000 x4
O: 0.000 0.000 0.500 x4


A relaxed structure of DyErAgPd. Source: the Alexandria database, functional PBE.

Properties
Energy of formation from the pure elements   -602.0 meV per atom
Spin magnetization   0.00 μB per cell
Energy above the most stable polymorph in this dataset   1.2 kJ/mol of atoms

abc: 7.108 7.108 7.108
angles: 90.00 90.00 90.00
Space group F-43m (No. 216)
Symmetry-distinct sites (fractional):
Dy: 0.000 0.000 0.000 x4
Er: 0.000 0.000 0.500 x4
Ag: 0.250 0.250 0.750 x4
Pd: 0.250 0.250 0.250 x4


A relaxed structure of La2YNiSn. Source: the Alexandria database, functional PBE.

Properties
Energy of formation from the pure elements   -404.6 meV per atom
Spin magnetization   0.00 μB per cell

abc: 5.253 5.253 5.455
angles: 90.00 90.00 90.00
Space group P4/mmm (No. 123)
Symmetry-distinct sites (fractional):
La: 0.000 0.500 0.000 x2
Y: 0.000 0.000 0.500 x1
Ni: 0.000 0.000 0.000 x1
Sn: 0.500 0.500 0.500 x1


A relaxed structure of NbIn2AgIr. Source: the Alexandria database, functional PBE.

Properties
Energy of formation from the pure elements   1385.1 meV per atom
Spin magnetization   0.00 μB per cell
Energy above the most stable polymorph in this dataset   33.4 kJ/mol of atoms

abc: 4.897 4.897 4.961
angles: 90.00 90.00 90.00
Space group P4/mmm (No. 123)
Symmetry-distinct sites (fractional):
Nb: 0.000 0.000 0.000 x1
In: 0.000 0.500 0.500 x2
Ag: 0.500 0.500 0.500 x1
Ir: 0.500 0.500 0.000 x1


A relaxed structure of Er3InC. Source: the Alexandria database, functional PBE.

Properties
Energy of formation from the pure elements   -539.8 meV per atom
Spin magnetization   0.00 μB per cell

abc: 4.867 4.867 4.867
angles: 90.00 90.00 90.00
Space group Pm-3m (No. 221)
Symmetry-distinct sites (fractional):
Er: 0.000 0.000 0.500 x3
In: 0.500 0.500 0.500 x1
C: 0.000 0.000 0.000 x1


A relaxed structure of Th4CoAs2Se. Source: the Alexandria database, functional PBE.

Properties
Formation energy without anion corrections   -1.12 eV per atom
Spin magnetization   0.00 μB per cell

abc: 7.367 4.086 7.377
angles: 90.00 109.28 90.00
Space group P2/m (No. 10)
Symmetry-distinct sites (fractional):
Th: 0.223 0.000 0.226 x2
Th: 0.242 0.500 0.751 x2
Co: 0.000 0.500 0.000 x1
As: 0.000 0.000 0.500 x1
As: 0.500 0.500 0.500 x1
Se: 0.500 0.000 0.000 x1


A relaxed structure of La4PdAu. Source: the Alexandria database, functional PBE.

Properties
Energy of formation from the pure elements   -437.4 meV per atom
Spin magnetization   0.00 μB per cell
Energy above the most stable polymorph in this dataset   7.6 kJ/mol of atoms

abc: 8.503 15.800 7.210
angles: 90.00 124.82 90.00
Space group C2/c (No. 15)
Symmetry-distinct sites (fractional):
La: 0.211 0.219 0.215 x8
La: 0.249 0.049 0.745 x8
Pd: 0.000 0.082 0.250 x4
Au: 0.000 0.403 0.750 x4


A relaxed structure of CsMg2Tl4In. Source: the Alexandria database, functional PBE.

Properties
Energy of formation from the pure elements   -44.2 meV per atom
Spin magnetization   0.00 μB per cell

abc: 5.2726 5.2726 34.0711
angles: 90.00 90.00 120.00
Space group R-3m (No. 166, hexagonal axes)
Symmetry-distinct sites (fractional):
Cs: 0.0000 0.0000 0.0000 x3
Mg: 0.0000 0.0000 0.2175 x6
Tl: 0.0000 0.0000 0.1223 x6
Tl: 0.0000 0.0000 0.4085 x6
In: 0.0000 0.0000 0.5000 x3


A relaxed structure of TmGe2O6. Source: the Alexandria database, functional PBE.

Properties
Formation energy without anion corrections   -2.00 eV per atom
Spin magnetization   4.14 μB per cell

abc: 10.757 9.693 5.742
angles: 90.00 107.93 90.00
Space group C2/c (No. 15)
Symmetry-distinct sites (fractional):
Tm: 0.000 0.108 0.250 x4
Ge: 0.212 0.430 0.282 x8
O: 0.118 0.046 0.624 x8
O: 0.139 0.473 0.970 x8
O: 0.169 0.254 0.303 x8